Record 1
VASP calculation (PBE-GGA) on an optimized crystal structure of AcPuCdAg.

Results
Symmetry: F-43m, No. 216
Volume: 29.6 A^3/atom
Calculated formation energy: -0.03 eV/atom
Total magnetic moment: 6.089 μB/cell
Total DFT energy (no corrections): -5.586 eV/atom

a b c (Å): 5.511 5.511 5.511
angles (deg): 60.00 60.00 60.00
Fractional coordinates of all 4 atoms:
Ac1 0.500 0.500 0.500
Cd1 0.250 0.250 0.250
Ag1 0.750 0.750 0.750
Pu1 0.000 0.000 0.000

---

Record 2
VASP calculation (PBE-GGA) on an optimized crystal structure of AsSeI2O.

Results
Formation energy from raw total energies: 0.390 eV/atom
Symmetry: P4/mmm, No. 123
Volume: 25.8 A^3/atom
Total magnetic moment: 0.000 μB/cell
Total DFT energy (no corrections): -2.849 eV/atom
Energy above the lowest structure with this stoichiometry: 21.2 kJ per mole of atoms

a b c (Å): 5.833 5.833 3.789
angles (deg): 90.00 90.00 90.00
Fractional coordinates of all 5 atoms:
I1 0.000 0.500 0.000
I2 0.500 0.000 0.000
As1 0.500 0.500 0.500
O1 0.000 0.000 0.500
Se1 0.000 0.000 0.000

---

Record 3
VASP calculation (PBE-GGA) on an optimized crystal structure of RbAlAsPd2.

Results
Symmetry: P4/mmm, No. 123
Volume: 24.6 A^3/atom
Calculated formation energy: 0.05 eV/atom
Total magnetic moment: 0.000 μB/cell
Total DFT energy (no corrections): -3.903 eV/atom

a b c (Å): 4.977 4.975 4.977
angles (deg): 90.00 90.00 90.00
Fractional coordinates of all 5 atoms:
As1 0.000 0.000 0.000
Rb1 0.500 0.500 0.500
Pd1 0.000 0.000 0.500
Pd2 0.500 0.000 0.000
Al1 0.000 0.500 0.000

---

Record 4
VASP calculation (PBE-GGA) on an optimized crystal structure of BeCoRu2.

Results
Symmetry: R-3m, No. 166
Volume: 12.2 A^3/atom
Calculated formation energy: 0.10 eV/atom
Total magnetic moment: 1.866 μB/cell
Total DFT energy (no corrections): -7.243 eV/atom

a b c (Å): 8.120 8.120 8.120
angles (deg): 18.81 18.81 18.81
Fractional coordinates of all 4 atoms:
Ru1 0.997 0.997 0.997
Ru2 0.503 0.503 0.503
Co1 0.750 0.750 0.750
Be1 0.250 0.250 0.250

---

Record 5
VASP calculation (PBE-GGA) on an optimized crystal structure of CaAl2Cd.

Results
Symmetry: I-42d, No. 122
Volume: 27.3 A^3/atom
Calculated formation energy: 0.11 eV/atom
Total magnetic moment: 0.000 μB/cell
Total DFT energy (no corrections): -2.489 eV/atom

a b c (Å): 4.756 4.756 10.213
angles (deg): 76.53 76.53 90.00
Fractional coordinates of all 8 atoms:
Ca1 0.500 0.500 0.000
Ca2 0.250 0.750 0.500
Al1 0.758 0.125 0.250
Al2 0.992 0.625 0.250
Al3 0.375 0.242 0.750
Al4 0.875 0.008 0.750
Cd1 0.000 0.000 0.000
Cd2 0.750 0.250 0.500

---

Record 6
VASP calculation (PBE-GGA) on an optimized crystal structure of TaBeCd2.

Results
Symmetry: I-42d, No. 122
Volume: 17.9 A^3/atom
Calculated formation energy: 0.72 eV/atom
Total magnetic moment: 0.000 μB/cell
Total DFT energy (no corrections): -3.630 eV/atom

a b c (Å): 7.348 7.348 5.836
angles (deg): 50.99 50.99 90.00
Fractional coordinates of all 8 atoms:
Be1 0.500 0.500 0.000
Be2 0.250 0.750 0.500
Cd1 0.570 0.125 0.250
Cd2 0.180 0.625 0.250
Cd3 0.375 0.430 0.750
Cd4 0.875 0.820 0.750
Ta1 0.000 0.000 0.000
Ta2 0.750 0.250 0.500

---

> Which of these has the lowest total DFT energy (no corrections)?

BeCoRu2

---

Please write out number 1 again, unchanged.
VASP calculation (PBE-GGA) on an optimized crystal structure of AcPuCdAg.

Results
Symmetry: F-43m, No. 216
Volume: 29.6 A^3/atom
Calculated formation energy: -0.03 eV/atom
Total magnetic moment: 6.089 μB/cell
Total DFT energy (no corrections): -5.586 eV/atom

a b c (Å): 5.511 5.511 5.511
angles (deg): 60.00 60.00 60.00
Fractional coordinates of all 4 atoms:
Ac1 0.500 0.500 0.500
Cd1 0.250 0.250 0.250
Ag1 0.750 0.750 0.750
Pu1 0.000 0.000 0.000

---

> Look up the total magnetic moment of the sixth one.

0.000 μB/cell